# 1
Compound: Nb2HgB
Source: the Alexandria database
Functional: PBE
Structure: optimized geometry

Cell and atoms, written as CIF:
```
data_Nb2HgB
_chemical_formula_sum 'Nb4 Hg2 B2'
_cell_length_a 5.4657
_cell_length_b 8.3228
_cell_length_c 3.2030
_cell_angle_alpha 90.00
_cell_angle_beta 113.97
_cell_angle_gamma 90.00
_symmetry_space_group_name_H-M 'C 1 2/m 1'
_symmetry_Int_Tables_number 12
_symmetry_space_group_name_Hall '-C 2y'
loop_
_atom_site_label
_atom_site_fract_x
_atom_site_fract_y
_atom_site_fract_z
Nb1 0.0000 0.1908 0.0000
Hg1 0.0000 0.5000 0.5000
B1 0.0000 0.0000 0.5000
```

energy of formation from the pure elements: 0.20 eV per atom
relative energy among the computed polymorphs: 0.468 eV/atom



# 2
Compound: GdTi2V
Source: the Alexandria database
Functional: PBE
Structure: optimized geometry

Cell and atoms, written as CIF:
```
data_GdTi2V
_chemical_formula_sum 'Gd1 Ti2 V1'
_cell_length_a 3.2991
_cell_length_b 3.2991
_cell_length_c 7.1414
_cell_angle_alpha 90.00
_cell_angle_beta 90.00
_cell_angle_gamma 90.00
_symmetry_space_group_name_H-M 'P 4/m m m'
_symmetry_Int_Tables_number 123
_symmetry_space_group_name_Hall '-P 4 2'
loop_
_atom_site_label
_atom_site_fract_x
_atom_site_fract_y
_atom_site_fract_z
Gd1 0.0000 0.0000 0.0000
Ti1 0.5000 0.5000 0.3098
V1 0.0000 0.0000 0.5000
```

energy of formation from the pure elements: 0.17 eV per atom
relative energy among the computed polymorphs: 0.000 eV/atom



# 3
Compound: Tl2CuRh
Source: the Alexandria database
Functional: PBE
Structure: optimized geometry

Cell and atoms, written as CIF:
```
data_Tl2CuRh
_chemical_formula_sum 'Tl8 Cu4 Rh4'
_cell_length_a 6.1595
_cell_length_b 6.1595
_cell_length_c 12.1810
_cell_angle_alpha 90.00
_cell_angle_beta 90.00
_cell_angle_gamma 90.00
_symmetry_space_group_name_H-M 'I -4 2 d'
_symmetry_Int_Tables_number 122
_symmetry_space_group_name_Hall 'I -4 2bw'
loop_
_atom_site_label
_atom_site_fract_x
_atom_site_fract_y
_atom_site_fract_z
Tl1 0.2464 0.2500 0.1250
Cu1 0.0000 0.0000 0.5000
Rh1 0.0000 0.0000 0.0000
```

energy of formation from the pure elements: 0.68 eV per atom
relative energy among the computed polymorphs: 0.523 eV/atom



# 4
Compound: Zr4AlCd
Source: the Alexandria database
Functional: PBE
Structure: optimized geometry

Cell and atoms, written as CIF:
```
data_Zr4AlCd
_chemical_formula_sum 'Zr16 Al4 Cd4'
_cell_length_a 8.1407
_cell_length_b 8.1407
_cell_length_c 8.1407
_cell_angle_alpha 90.00
_cell_angle_beta 90.00
_cell_angle_gamma 90.00
_symmetry_space_group_name_H-M 'F -4 3 m'
_symmetry_Int_Tables_number 216
_symmetry_space_group_name_Hall 'F -4 2 3'
loop_
_atom_site_label
_atom_site_fract_x
_atom_site_fract_y
_atom_site_fract_z
Zr1 0.1242 0.1242 0.1242
Al1 0.2500 0.2500 0.7500
Cd1 0.0000 0.0000 0.5000
```

energy of formation from the pure elements: 0.25 eV per atom
relative energy among the computed polymorphs: 0.000 eV/atom



# 5
Compound: Mn2FeRh8
Source: the Alexandria database
Functional: PBE
Structure: optimized geometry

Cell and atoms, written as CIF:
```
data_Mn2FeRh8
_chemical_formula_sum 'Mn4 Fe2 Rh16'
_cell_length_a 4.0028
_cell_length_b 6.6845
_cell_length_c 11.5985
_cell_angle_alpha 90.00
_cell_angle_beta 90.00
_cell_angle_gamma 90.00
_symmetry_space_group_name_H-M 'I m m m'
_symmetry_Int_Tables_number 71
_symmetry_space_group_name_Hall '-I 2 2'
loop_
_atom_site_label
_atom_site_fract_x
_atom_site_fract_y
_atom_site_fract_z
Mn1 0.0000 0.0000 0.1985
Fe1 0.0000 0.0000 0.5000
Rh1 0.0000 0.1950 0.0000
Rh2 0.0000 0.2851 0.3457
Rh3 0.0000 0.5000 0.1479
```

energy of formation from the pure elements: 0.05 eV per atom



# 6
Compound: K4SmNb3O12
Source: the Alexandria database
Functional: PBE
Structure: optimized geometry

Cell and atoms, written as CIF:
```
data_K4SmNb3O12
_chemical_formula_sum 'K8 Sm2 Nb6 O24'
_cell_length_a 8.4005
_cell_length_b 8.4005
_cell_length_c 8.4005
_cell_angle_alpha 90.00
_cell_angle_beta 90.00
_cell_angle_gamma 90.00
_symmetry_space_group_name_H-M 'I m -3 m'
_symmetry_Int_Tables_number 229
_symmetry_space_group_name_Hall '-I 4 2 3'
loop_
_atom_site_label
_atom_site_fract_x
_atom_site_fract_y
_atom_site_fract_z
K1 0.2500 0.2500 0.2500
Sm1 0.0000 0.0000 0.0000
Nb1 0.0000 0.0000 0.5000
O1 0.0000 0.0000 0.2706
O2 0.0000 0.2500 0.5000
```

formation energy without anion corrections: -2286 meV/atom



# 7
Compound: YHg2As
Source: the Alexandria database
Functional: PBE
Structure: optimized geometry

Cell and atoms, written as CIF:
```
data_YHg2As
_chemical_formula_sum 'Y2 Hg4 As2'
_cell_length_a 4.7022
_cell_length_b 4.7605
_cell_length_c 8.5200
_cell_angle_alpha 90.00
_cell_angle_beta 90.00
_cell_angle_gamma 90.00
_symmetry_space_group_name_H-M 'I m m 2'
_symmetry_Int_Tables_number 44
_symmetry_space_group_name_Hall 'I 2 -2'
loop_
_atom_site_label
_atom_site_fract_x
_atom_site_fract_y
_atom_site_fract_z
Y1 0.0000 0.0000 0.0000
Hg1 0.0000 0.0000 0.4974
Hg2 0.0000 0.5000 0.2483
As1 0.0000 0.5000 0.7479
```

energy of formation from the pure elements: -0.36 eV per atom



# 8
Compound: HgOsOF2
Source: the Alexandria database
Functional: PBE
Structure: optimized geometry

Cell and atoms, written as CIF:
```
data_HgOsOF2
_chemical_formula_sum 'Hg1 Os1 O1 F2'
_cell_length_a 4.5320
_cell_length_b 4.5320
_cell_length_c 4.2058
_cell_angle_alpha 90.00
_cell_angle_beta 90.00
_cell_angle_gamma 90.00
_symmetry_space_group_name_H-M 'P 4/m m m'
_symmetry_Int_Tables_number 123
_symmetry_space_group_name_Hall '-P 4 2'
loop_
_atom_site_label
_atom_site_fract_x
_atom_site_fract_y
_atom_site_fract_z
Hg1 0.0000 0.0000 0.0000
Os1 0.5000 0.5000 0.5000
O1 0.0000 0.0000 0.5000
F1 0.0000 0.5000 0.0000
```

relative energy among the computed polymorphs: 1.333 eV/atom
formation energy without anion corrections: 653 meV/atom



What ρ values result from the calculations? In sequence: 9908 6493 8267 6209 10584 4356 9839 8551 kg/m3.